Crystalline YCd4Si at its relaxed geometry, computed with PBE.

It has space group F-43m (No. 216), with a = 8.2414 Å, b = 8.2414 Å, c = 8.2414 Å, α = 90.00°, β = 90.00° and γ = 90.00°. Symmetry generates all atoms from Y at (0.0000, 0.0000, 0.0000), Cd at (0.1249, 0.1249, 0.6249) and Si at (0.2500, 0.2500, 0.2500).

For the calculated density, the calculation gives 6.7 Mg/m³. As for the uncorrected formation energy: 116 meV/atom.